Record 1
# NbBCl2

A relaxed NbBCl2 crystal (PBE, Alexandria via LeMat-Bulk).

Cell and atoms, written as POSCAR:
```
NbBCl2
1.0
-8.874 -0.429 2.498
-8.730 -2.926 0.629
-7.876 -3.165 3.622
Cl B Nb
2 1 1
direct
0.900 0.900 0.900 Cl
0.100 0.100 0.100 Cl
0.000 0.000 0.000 B
0.500 0.500 0.500 Nb
```

## Properties
Energy relative to the elements, uncorrected: 0.46 eV per atom
Symmetry: No. 166

Record 2
# RbCeNpO6

A relaxed RbCeNpO6 crystal (PBE, Alexandria via LeMat-Bulk).

Cell and atoms, written as POSCAR:
```
RbCeNpO6
1.0
-6.662 3.622 1.971
-3.955 -7.146 -0.234
6.474 0.939 4.583
O Rb Ce Np
12 2 2 2
direct
0.561 0.339 0.761 O
0.439 0.661 0.239 O
0.799 0.661 0.239 O
0.561 0.922 0.761 O
0.799 0.078 0.239 O
0.201 0.339 0.761 O
0.827 0.077 0.653 O
0.173 0.923 0.347 O
0.547 0.297 0.094 O
0.201 0.922 0.761 O
0.439 0.078 0.239 O
0.453 0.703 0.906 O
0.897 0.647 0.794 Rb
0.103 0.353 0.206 Rb
0.500 0.000 0.500 Ce
0.000 0.000 0.500 Ce
0.500 0.500 0.000 Np
0.500 0.000 0.000 Np
```

## Properties
Energy relative to the elements, uncorrected: -2.71 eV per atom
Symmetry: No. 74

Record 3
# KAuCl2

A relaxed KAuCl2 crystal (PBE, Alexandria via LeMat-Bulk).

Cell and atoms, written as POSCAR:
```
KAuCl2
1.0
6.902 -0.029 -0.018
5.556 4.094 -0.018
5.556 1.813 3.671
Cl K Au
2 1 1
direct
0.486 0.486 0.486 Cl
0.014 0.014 0.014 Cl
0.250 0.250 0.250 K
0.750 0.750 0.750 Au
```

## Properties
Energy relative to the elements, uncorrected: -0.85 eV per atom
Symmetry: No. 166

Record 4
# Zr3TaRh

A relaxed Zr3TaRh crystal (PBE, Alexandria via LeMat-Bulk).

Cell and atoms, written as POSCAR:
```
Zr3TaRh
1.0
5.041 0.000 0.000
0.000 5.041 0.000
0.000 0.000 5.041
Rh Zr Ta
1 3 1
direct
0.500 0.500 0.500 Rh
0.500 0.000 0.000 Zr
0.000 0.500 0.000 Zr
0.000 0.000 0.500 Zr
0.000 0.000 0.000 Ta
```

## Properties
Energy of formation: 1113 meV per atom
Symmetry: No. 221

Total moment readings, ordered: 0.00, 0.00, 0.00, 0.00 μB per formula unit